1.
# TaGeO3 PBE optimized geometry
data_TaGeO3
_cell_length_a 5.8553
_cell_length_b 7.7416
_cell_length_c 5.3410
_cell_angle_alpha 90.00
_cell_angle_beta 90.00
_cell_angle_gamma 90.00
_space_group_name_H-M_alt 'P n m a'
_space_group_IT_number 62
loop_
_space_group_symop_operation_xyz
'x,y,z'
'-x,-y,-z'
'-x+1/2,-y,z+1/2'
'x+1/2,y,-z+1/2'
'x+1/2,-y+1/2,-z+1/2'
'-x+1/2,y+1/2,z+1/2'
'-x,y+1/2,-z'
'x,-y+1/2,z'
loop_
_atom_site_label
_atom_site_fract_x
_atom_site_fract_y
_atom_site_fract_z
Ta1 0.0000 0.0000 0.0000
Ge1 0.0007 0.2500 0.4600
O1 0.0213 0.7500 0.1000
O2 0.2008 0.5413 0.6892
# crystal system = orthorhombic
# raw total energy = -8.08 eV per atom



2.
# TaGeO3 PBE optimized geometry
data_TaGeO3
_cell_length_a 5.7567
_cell_length_b 5.7567
_cell_length_c 12.2108
_cell_angle_alpha 90.00
_cell_angle_beta 90.00
_cell_angle_gamma 120.00
_space_group_name_H-M_alt 'R -3 c'
_space_group_IT_number 167
_space_group_name_Hall '-R 3 2"c'
loop_
_atom_site_label
_atom_site_fract_x
_atom_site_fract_y
_atom_site_fract_z
Ta1 0.0000 0.0000 0.0000
Ge1 0.0000 0.0000 0.2500
O1 0.0000 0.3981 0.2500
# crystal system = trigonal
# raw total energy = -8.10 eV per atom



Question: What is the formula in the first record?
Answer: TaGeO3